Entry 1:
# Mn2AsPt | Alexandria via LeMat-Bulk | PBE-GGA | optimized geometry
data_Mn2AsPt
_cell_length_a 3.743
_cell_length_b 3.023
_cell_length_c 10.713
_cell_angle_alpha 90.00
_cell_angle_beta 90.00
_cell_angle_gamma 90.00
_symmetry_space_group_name_H-M 'A m m 2'
_symmetry_Int_Tables_number 38
loop_
_symmetry_equiv_pos_as_xyz
'x,y,z'
'-x,-y,z'
'-x,y,z'
'x,-y,z'
'x,y+1/2,z+1/2'
'-x,-y+1/2,z+1/2'
'-x,y+1/2,z+1/2'
'x,-y+1/2,z+1/2'
loop_
_atom_site_label
_atom_site_fract_x
_atom_site_fract_y
_atom_site_fract_z
Mn1 0.000 0.000 0.000
Mn2 0.500 0.000 0.350
As1 0.000 0.000 0.770
Pt1 0.500 0.000 0.607
# DOS at the Fermi energy ... 0.57 states/eV/atom
# Calculated density ... 10.41 g cm⁻³
# Calculated formation energy ... -150.7 meV/atom
# E above lowest polymorph ... 0.0 meV/atom


Entry 2:
# Ta2CrRe | Alexandria via LeMat-Bulk | PBE-GGA | optimized geometry
data_Ta2CrRe
_cell_length_a 6.314
_cell_length_b 6.314
_cell_length_c 6.314
_cell_angle_alpha 90.00
_cell_angle_beta 90.00
_cell_angle_gamma 90.00
_symmetry_space_group_name_H-M 'F m -3 m'
_symmetry_Int_Tables_number 225
_symmetry_space_group_name_Hall '-F 4 2 3'
loop_
_atom_site_label
_atom_site_fract_x
_atom_site_fract_y
_atom_site_fract_z
Ta1 0.250 0.250 0.250
Cr1 0.000 0.000 0.000
Re1 0.000 0.000 0.500
# DOS at the Fermi energy ... 0.60 states/eV/atom
# Calculated density ... 15.83 g cm⁻³
# Calculated formation energy ... -253.1 meV/atom


Entry 3:
# PuPa2TcN4 | Alexandria via LeMat-Bulk | PBE-GGA | optimized geometry
data_PuPa2TcN4
_cell_length_a 3.350
_cell_length_b 11.874
_cell_length_c 11.691
_cell_angle_alpha 90.00
_cell_angle_beta 90.00
_cell_angle_gamma 90.00
_symmetry_space_group_name_H-M 'C m c m'
_symmetry_Int_Tables_number 63
_symmetry_space_group_name_Hall '-C 2c 2'
loop_
_atom_site_label
_atom_site_fract_x
_atom_site_fract_y
_atom_site_fract_z
Pu1 0.000 0.108 0.250
Pa1 0.000 0.369 0.054
Tc1 0.000 0.154 0.750
N1 0.000 0.000 0.000
N2 0.000 0.276 0.618
N3 0.000 0.460 0.250
# DOS at the Fermi energy ... 1.52 states/eV/atom
# E_form (uncorrected) ... -1.145 eV per atom
# Calculated density ... 12.29 g cm⁻³


Entry 4:
# AcAlNiPd | Alexandria via LeMat-Bulk | PBE-GGA | optimized geometry
data_AcAlNiPd
_cell_length_a 4.3367
_cell_length_b 4.3367
_cell_length_c 15.6569
_cell_angle_alpha 90.00
_cell_angle_beta 90.00
_cell_angle_gamma 120.00
_symmetry_space_group_name_H-M 'R 3 m'
_symmetry_Int_Tables_number 160
_symmetry_space_group_name_Hall 'R 3 -2"'
loop_
_atom_site_label
_atom_site_fract_x
_atom_site_fract_y
_atom_site_fract_z
Ac1 0.0000 0.0000 0.0000
Al1 0.0000 0.0000 0.5057
Ni1 0.0000 0.0000 0.2000
Pd1 0.0000 0.0000 0.7992
# DOS at the Fermi energy ... 0.50 states/eV/atom
# Calculated density ... 8.19 g cm⁻³
# Calculated formation energy ... -660.5 meV/atom


Entry 5:
# MnRuSCl2 | Alexandria via LeMat-Bulk | PBE-GGA | optimized geometry
data_MnRuSCl2
_cell_length_a 4.877
_cell_length_b 4.877
_cell_length_c 4.504
_cell_angle_alpha 90.00
_cell_angle_beta 90.00
_cell_angle_gamma 90.00
_symmetry_space_group_name_H-M 'P 4/m m m'
_symmetry_Int_Tables_number 123
_symmetry_space_group_name_Hall '-P 4 2'
loop_
_atom_site_label
_atom_site_fract_x
_atom_site_fract_y
_atom_site_fract_z
Mn1 0.000 0.000 0.000
Ru1 0.500 0.500 0.500
S1 0.500 0.500 0.000
Cl1 0.000 0.500 0.500
# DOS at the Fermi energy ... 0.62 states/eV/atom
# E_form (uncorrected) ... 0.209 eV per atom
# Calculated density ... 4.02 g cm⁻³
# E above lowest polymorph ... 0.0 meV/atom


Entry 6:
# Ti12Mo6Os | Alexandria via LeMat-Bulk | PBE-GGA | optimized geometry
data_Ti12Mo6Os
_cell_length_a 9.4737
_cell_length_b 9.4737
_cell_length_c 12.3305
_cell_angle_alpha 90.00
_cell_angle_beta 90.00
_cell_angle_gamma 120.00
_symmetry_space_group_name_H-M 'R -3'
_symmetry_Int_Tables_number 148
_symmetry_space_group_name_Hall '-R 3'
loop_
_atom_site_label
_atom_site_fract_x
_atom_site_fract_y
_atom_site_fract_z
Ti1 0.0337 0.8490 0.3071
Ti2 0.0606 0.2190 0.9170
Mo1 0.0289 0.5971 0.2035
Os1 0.0000 0.0000 0.5000
# DOS at the Fermi energy ... 1.05 states/eV/atom
# Calculated density ... 6.97 g cm⁻³
# Calculated formation energy ... -26.0 meV/atom